--- P ---
# PBE Sb2TeBr, optimized geometry
data_Sb2TeBr
_chemical_formula_sum 'Sb2 Te1 Br1'
_cell_length_a 3.2302
_cell_length_b 4.7320
_cell_length_c 8.0364
_cell_angle_alpha 90.00
_cell_angle_beta 90.00
_cell_angle_gamma 90.00
_symmetry_space_group_name_H-M 'P m m m'
_symmetry_Int_Tables_number 47
_symmetry_space_group_name_Hall '-P 2 2'
loop_
_atom_site_label
_atom_site_fract_x
_atom_site_fract_y
_atom_site_fract_z
Sb1 0.0000 0.0000 0.2440
Te1 0.0000 0.5000 0.5000
Br1 0.0000 0.5000 0.0000
# M_tot: 0.00 μB/f.u.
# density of states at the Fermi level: 0.394 states/eV per atom

--- Q ---
# PBE Sb2TeBr, optimized geometry
data_Sb2TeBr
_chemical_formula_sum 'Sb2 Te1 Br1'
_cell_length_a 5.9040
_cell_length_b 4.1743
_cell_length_c 5.9113
_cell_angle_alpha 90.00
_cell_angle_beta 104.92
_cell_angle_gamma 90.00
_symmetry_space_group_name_H-M 'P 1 m 1'
_symmetry_Int_Tables_number 6
_symmetry_space_group_name_Hall 'P -2y'
loop_
_atom_site_label
_atom_site_fract_x
_atom_site_fract_y
_atom_site_fract_z
Sb1 0.0000 0.0000 0.0000
Sb2 0.3653 0.5000 0.1809
Te1 0.5631 0.5000 0.8051
Br1 0.9120 0.0000 0.4168
# M_tot: 0.00 μB/f.u.
# density of states at the Fermi level: 0.477 states/eV per atom

Q has the most favorable energy; the next structure is 0.095 eV/atom above.